Record 1
VASP calculation (PBE-GGA) on crystalline Li3Al4Os2 at its relaxed geometry.

Calculated values
Crystal system: trigonal
Symmetry: P-3m1, No. 164
ΔE_f: -326 meV/atom

Cell lengths 4.253, 4.253, 8.112 Å; angles 90.00, 90.00, 60.00 degrees
Element x y z (fractional)
Li 0.333 0.333 0.449
Li 0.000 0.000 0.000
Li 0.667 0.667 0.551
Al 0.667 0.666 0.889
Al 0.000 0.000 0.314
Al 0.000 0.000 0.686
Al 0.333 0.334 0.111
Os 0.333 0.333 0.789
Os 0.667 0.667 0.211

***

Record 2
VASP calculation (PBE-GGA) on crystalline SmSc7 at its relaxed geometry.

Calculated values
Crystal system: cubic
Symmetry: Fm-3m, No. 225
ΔE_f: 58 meV/atom

Cell lengths 6.603, 6.603, 6.603 Å; angles 60.00, 60.00, 60.00 degrees
Element x y z (fractional)
Sm 0.000 0.000 0.000
Sc 0.500 0.500 0.000
Sc 0.500 0.000 0.500
Sc 0.000 0.500 0.500
Sc 0.500 0.000 0.000
Sc 0.000 0.500 0.000
Sc 0.000 0.000 0.500
Sc 0.500 0.500 0.500

***

Record 3
VASP calculation (PBE-GGA) on crystalline YLuMgGa at its relaxed geometry.

Calculated values
Crystal system: cubic
Symmetry: F-43m, No. 216
ΔE_f: -265 meV/atom

Cell lengths 5.118, 5.118, 5.118 Å; angles 60.00, 60.00, 60.00 degrees
Element x y z (fractional)
Y 0.750 0.750 0.750
Mg 0.500 0.500 0.500
Lu 0.250 0.250 0.250
Ga 0.000 0.000 0.000

***

Record 4
VASP calculation (PBE-GGA) on crystalline IrS6F2 at its relaxed geometry.

Calculated values
Crystal system: triclinic
ΔE_f (raw): -0.316 eV/atom
Symmetry: P-1, No. 2

Cell lengths 4.575, 7.527, 7.228 Å; angles 114.70, 99.15, 75.25 degrees
Last column: magnetic moment on the atom in μB.
Element x y z (fractional)
Ir 0.000 0.000 0.000  0.80
S 0.826 0.526 0.243  0.00
S 0.174 0.474 0.757  0.00
S 0.850 0.732 0.741  0.00
S 0.006 0.256 0.521  0.00
S 0.994 0.744 0.479  0.00
S 0.150 0.268 0.259  0.00
F 0.285 0.819 0.105  0.10
F 0.715 0.181 0.895  0.10

***

Record 5
VASP calculation (PBE-GGA) on crystalline Cu3NiI4 at its relaxed geometry.

Calculated values
Crystal system: tetragonal
ΔE_f (raw): -0.032 eV/atom
Symmetry: I-42m, No. 121

Cell lengths 6.011, 6.011, 7.392 Å; angles 113.99, 113.99, 90.00 degrees
Last column: magnetic moment on the atom in μB.
Element x y z (fractional)
Cu 0.500 0.500 0.000  0.04
Cu 0.750 0.250 0.500  0.04
Cu 0.250 0.750 0.500  0.04
Ni 0.000 0.000 0.000  0.70
I 0.369 0.369 0.246  0.03
I 0.877 0.877 0.246  0.03
I 0.123 0.631 0.754  0.03
I 0.631 0.123 0.754  0.03

***

Record 6
VASP calculation (PBE-GGA) on crystalline DyTm3Ga3 at its relaxed geometry.

Calculated values
Crystal system: hexagonal
Symmetry: P6_3/m, No. 176
ΔE_f: -428 meV/atom

Cell lengths 4.757, 9.006, 9.006 Å; angles 120.00, 90.00, 90.00 degrees
Element x y z (fractional)
Dy 0.250 0.667 0.333
Dy 0.750 0.333 0.667
Tm 0.750 0.762 0.748
Tm 0.750 0.252 0.014
Tm 0.750 0.986 0.238
Tm 0.250 0.238 0.252
Tm 0.250 0.748 0.986
Tm 0.250 0.014 0.762
Ga 0.250 0.550 0.610
Ga 0.250 0.390 0.941
Ga 0.250 0.059 0.450
Ga 0.750 0.450 0.390
Ga 0.750 0.610 0.059
Ga 0.750 0.941 0.550

***

Record 7
VASP calculation (PBE-GGA) on crystalline VCoW2 at its relaxed geometry.

Calculated values
Crystal system: tetragonal
Symmetry: P4/mmm, No. 123
ΔE_f: 87 meV/atom

Cell lengths 3.099, 4.265, 4.265 Å; angles 90.00, 90.00, 90.00 degrees
Last column: magnetic moment on the atom in μB.
Element x y z (fractional)
Co 0.500 0.000 0.000  1.31
W 0.000 0.000 0.500  0.16
W 0.000 0.500 0.000  0.16
V 0.500 0.500 0.500  -0.05

***

Record 8
VASP calculation (PBE-GGA) on crystalline HoThCuHg at its relaxed geometry.

Calculated values
Crystal system: cubic
Symmetry: F-43m, No. 216
ΔE_f: -173 meV/atom

Cell lengths 5.194, 5.194, 5.194 Å; angles 60.00, 60.00, 60.00 degrees
Last column: magnetic moment on the atom in μB.
Element x y z (fractional)
Cu 0.250 0.250 0.250  0.03
Hg 0.750 0.750 0.750  0.01
Th 0.500 0.500 0.500  0.17
Ho 0.000 0.000 0.000  0.21

***

Repeat the sixth record exactly.
VASP calculation (PBE-GGA) on crystalline DyTm3Ga3 at its relaxed geometry.

Calculated values
Crystal system: hexagonal
Symmetry: P6_3/m, No. 176
ΔE_f: -428 meV/atom

Cell lengths 4.757, 9.006, 9.006 Å; angles 120.00, 90.00, 90.00 degrees
Element x y z (fractional)
Dy 0.250 0.667 0.333
Dy 0.750 0.333 0.667
Tm 0.750 0.762 0.748
Tm 0.750 0.252 0.014
Tm 0.750 0.986 0.238
Tm 0.250 0.238 0.252
Tm 0.250 0.748 0.986
Tm 0.250 0.014 0.762
Ga 0.250 0.550 0.610
Ga 0.250 0.390 0.941
Ga 0.250 0.059 0.450
Ga 0.750 0.450 0.390
Ga 0.750 0.610 0.059
Ga 0.750 0.941 0.550